Entry 1:
Mn2CoSbRh: optimized geometry, PBE-GGA.

Structure (POSCAR):
```
Mn2CoSbRh
1.0
4.774 0.000 0.000
0.000 4.468 0.000
0.000 0.000 4.774
Sb Mn Rh Co
1 2 1 1
direct
0.500 0.500 0.500
0.000 0.000 0.500
0.500 0.000 0.000
0.000 0.000 0.000
0.000 0.500 0.000
```

Computed properties:
- raw formation energy (eV/f.u.) = 4.5

***

Entry 2:
PaTe2Rh: optimized geometry, PBE-GGA.

Structure (POSCAR):
```
PaTe2Rh
1.0
-0.835 -2.218 -3.302
-0.655 -3.128 2.236
-6.604 3.407 -0.591
Pa Te Rh
1 2 1
direct
0.626 0.539 0.254
0.125 0.861 0.014
0.625 0.166 0.609
0.123 0.185 0.374
```

Computed properties:
- raw formation energy (eV/f.u.) = -3.0

***

Entry 3:
LiPaOs: optimized geometry, PBE-GGA.

Structure (POSCAR):
```
LiPaOs
1.0
-1.282 -3.167 1.288
2.511 0.062 2.651
-3.503 3.814 0.714
Pa Os Li
1 1 1
direct
0.253 0.253 0.506
0.649 0.649 0.298
0.948 0.948 0.896
```

Computed properties:
- E_form (meV per atom) = 90

***

Entry 4:
MgTl3Hg2: optimized geometry, PBE-GGA.

Structure (POSCAR):
```
MgTl3Hg2
1.0
-3.137 -1.356 0.497
2.188 -5.353 -0.795
0.441 2.098 8.515
Mg Tl Hg
1 3 2
direct
0.000 0.000 0.000
0.000 0.684 0.368
0.000 0.316 0.632
0.500 0.500 0.000
0.500 0.857 0.713
0.500 0.143 0.287
```

Computed properties:
- E_form (meV per atom) = -34

***

Entry 5:
Mg2Tl2Ni: optimized geometry, PBE-GGA.

Structure (POSCAR):
```
Mg2Tl2Ni
1.0
-6.616 -2.338 0.081
1.802 -4.939 4.648
-0.958 2.829 3.377
Ni Tl Mg
2 4 4
direct
0.000 0.000 0.000
0.500 0.500 0.000
0.344 0.844 0.000
0.844 0.656 0.000
0.656 0.156 0.000
0.156 0.344 0.000
0.161 0.661 0.500
0.661 0.839 0.500
0.839 0.339 0.500
0.339 0.161 0.500
```

Computed properties:
- E_form (meV per atom) = 178

***

Entry 6:
Cs2TlInPb2: optimized geometry, PBE-GGA.

Structure (POSCAR):
```
Cs2TlInPb2
1.0
7.422 0.000 0.000
0.000 7.378 0.000
-3.711 -3.689 9.273
Cs Tl In Pb
4 2 2 4
direct
0.407 0.166 0.333
0.593 0.834 0.667
0.074 0.334 0.667
0.926 0.666 0.333
0.000 0.750 0.000
0.000 0.250 0.000
0.500 0.750 0.000
0.500 0.250 0.000
0.835 0.099 0.199
0.363 0.599 0.199
0.637 0.401 0.801
0.165 0.901 0.801
```

Computed properties:
- E_form (meV per atom) = -166

***

no.,DOS at the Fermi energy (states/eV/f.u.)
1,6.9
2,0.9
3,1.7
4,3.0
5,2.4
6,3.9